Record 1
Compound: PrAl2GaNi4
Source: the Alexandria database
Functional: PBE
Structure: relaxed

D(E_F) = 4.73 states/eV/f.u.
ρ = 6.770 g/cm³
symmetry = R-3m, No. 166
energy = -42.3 eV per formula unit

a = 8.825 Å, b = 8.825 Å, c = 8.825 Å
α = 26.72°, β = 26.72°, γ = 26.72°
Sites, in units of the cell vectors:
Pr  0.000  0.000  0.000
Al  0.237  0.237  0.237
Al  0.763  0.763  0.763
Ga  0.500  0.500  0.500
Ni  0.134  0.134  0.134
Ni  0.407  0.407  0.407
Ni  0.593  0.593  0.593
Ni  0.866  0.866  0.866

---

Record 2
Compound: Pr2AlGa4Ni3
Source: the Alexandria database
Functional: PBE
Structure: relaxed

D(E_F) = 6.61 states/eV/f.u.
ρ = 7.052 g/cm³
symmetry = P-4m2, No. 115
energy = -48.4 eV per formula unit

a = 4.167 Å, b = 4.167 Å, c = 10.358 Å
α = 90.00°, β = 90.00°, γ = 90.00°
Sites, in units of the cell vectors:
Pr  0.000  0.500  0.242
Pr  0.500  0.000  0.758
Al  0.000  0.000  0.500
Ga  0.000  0.000  0.000
Ga  0.000  0.500  0.644
Ga  0.500  0.000  0.356
Ga  0.500  0.500  0.000
Ni  0.000  0.500  0.876
Ni  0.500  0.000  0.124
Ni  0.500  0.500  0.500

---

Record 3
Compound: Pr3AlGa2Ni6
Source: the Alexandria database
Functional: PBE
Structure: relaxed

D(E_F) = 3.54 states/eV/f.u.
ρ = 7.165 g/cm³
symmetry = P-3m1, No. 164
energy = -62.7 eV per formula unit

a = 5.419 Å, b = 5.419 Å, c = 8.578 Å
α = 90.00°, β = 90.00°, γ = 120.00°
Sites, in units of the cell vectors:
Pr  0.000  0.000  0.000
Pr  0.333  0.667  0.636
Pr  0.667  0.333  0.364
Al  0.000  0.000  0.500
Ga  0.333  0.667  0.054
Ga  0.667  0.333  0.946
Ni  0.176  0.352  0.289
Ni  0.176  0.824  0.289
Ni  0.352  0.176  0.711
Ni  0.648  0.824  0.289
Ni  0.824  0.176  0.711
Ni  0.824  0.648  0.711

---

Record 4
Compound: PrAl2GaNi2
Source: the Alexandria database
Functional: PBE
Structure: relaxed

D(E_F) = 3.94 states/eV/f.u.
ρ = 5.746 g/cm³
symmetry = P4/mmm, No. 123
energy = -28.9 eV per formula unit

a = 4.392 Å, b = 4.392 Å, c = 5.723 Å
α = 90.00°, β = 90.00°, γ = 90.00°
Sites, in units of the cell vectors:
Pr  0.000  0.000  0.000
Al  0.500  0.500  0.254
Al  0.500  0.500  0.746
Ga  0.000  0.000  0.500
Ni  0.000  0.500  0.500
Ni  0.500  0.000  0.500

---

Record 5
Compound: PrAlGaNi3
Source: the Alexandria database
Functional: PBE
Structure: relaxed

D(E_F) = 2.88 states/eV/f.u.
ρ = 6.802 g/cm³
symmetry = Cmcm, No. 63
energy = -30.7 eV per formula unit

a = 6.762 Å, b = 6.762 Å, c = 5.442 Å
α = 90.00°, β = 90.00°, γ = 125.73°
Sites, in units of the cell vectors:
Pr  0.215  0.785  0.750
Pr  0.785  0.215  0.250
Al  0.465  0.535  0.750
Al  0.535  0.465  0.250
Ga  0.134  0.866  0.250
Ga  0.866  0.134  0.750
Ni  0.197  0.197  0.000
Ni  0.197  0.197  0.500
Ni  0.339  0.661  0.250
Ni  0.661  0.339  0.750
Ni  0.803  0.803  0.000
Ni  0.803  0.803  0.500

---

Record 6
Compound: AlGa2Ni7Pt2
Source: the Alexandria database
Functional: PBE
Structure: relaxed

D(E_F) = 15.05 states/eV/f.u.
ρ = 10.194 g/cm³
symmetry = C2/m, No. 12
energy = -64.6 eV per formula unit

a = 3.382 Å, b = 3.382 Å, c = 13.953 Å
α = 96.41°, β = 96.41°, γ = 90.00°
Sites, in units of the cell vectors:
Al  0.000  0.000  0.000
Ga  0.169  0.169  0.361
Ga  0.831  0.831  0.639
Ni  0.062  0.562  0.135
Ni  0.267  0.267  0.536
Ni  0.438  0.938  0.865
Ni  0.500  0.500  0.000
Ni  0.562  0.062  0.135
Ni  0.733  0.733  0.464
Ni  0.938  0.438  0.865
Pt  0.371  0.371  0.721
Pt  0.629  0.629  0.279

---

Record 7
Compound: PuAlGaNi
Source: the Alexandria database
Functional: PBE
Structure: relaxed

D(E_F) = 10.51 states/eV/f.u.
ρ = 8.763 g/cm³
symmetry = R3m, No. 160
energy = -28.1 eV per formula unit
offset from the most stable computed form = 0 meV per atom

a = 4.078 Å, b = 4.078 Å, c = 15.761 Å
α = 90.00°, β = 90.00°, γ = 120.00°
Sites, in units of the cell vectors:
Pu  0.000  0.000  0.000
Pu  0.333  0.667  0.667
Pu  0.667  0.333  0.333
Al  0.000  0.000  0.794
Al  0.333  0.667  0.460
Al  0.667  0.333  0.127
Ga  0.000  0.000  0.210
Ga  0.333  0.667  0.877
Ga  0.667  0.333  0.543
Ni  0.000  0.000  0.497
Ni  0.333  0.667  0.164
Ni  0.667  0.333  0.830

---

Record 8
Compound: PuAlGaNi
Source: the Alexandria database
Functional: PBE
Structure: relaxed

D(E_F) = 9.64 states/eV/f.u.
ρ = 9.532 g/cm³
symmetry = F-43m, No. 216
energy = -27.8 eV per formula unit
offset from the most stable computed form = 56 meV per atom

a = 6.529 Å, b = 6.529 Å, c = 6.529 Å
α = 90.00°, β = 90.00°, γ = 90.00°
Sites, in units of the cell vectors:
Pu  0.000  0.000  0.000
Pu  0.000  0.500  0.500
Pu  0.500  0.000  0.500
Pu  0.500  0.500  0.000
Al  0.000  0.000  0.500
Al  0.000  0.500  0.000
Al  0.500  0.000  0.000
Al  0.500  0.500  0.500
Ga  0.250  0.250  0.250
Ga  0.250  0.750  0.750
Ga  0.750  0.250  0.750
Ga  0.750  0.750  0.250
Ni  0.250  0.250  0.750
Ni  0.250  0.750  0.250
Ni  0.750  0.250  0.250
Ni  0.750  0.750  0.750

---

Record 9
Compound: AlGaNiRh
Source: the Alexandria database
Functional: PBE
Structure: relaxed

D(E_F) = 2.70 states/eV/f.u.
ρ = 8.153 g/cm³
symmetry = F-43m, No. 216
energy = -22.5 eV per formula unit
offset from the most stable computed form = 4 meV per atom

a = 5.948 Å, b = 5.948 Å, c = 5.948 Å
α = 90.00°, β = 90.00°, γ = 90.00°
Sites, in units of the cell vectors:
Al  0.000  0.000  0.000
Al  0.000  0.500  0.500
Al  0.500  0.000  0.500
Al  0.500  0.500  0.000
Ga  0.000  0.000  0.500
Ga  0.000  0.500  0.000
Ga  0.500  0.000  0.000
Ga  0.500  0.500  0.500
Ni  0.250  0.250  0.750
Ni  0.250  0.750  0.250
Ni  0.750  0.250  0.250
Ni  0.750  0.750  0.750
Rh  0.250  0.250  0.250
Rh  0.250  0.750  0.750
Rh  0.750  0.250  0.750
Rh  0.750  0.750  0.250

---

Record 10
Compound: AlGaNiRh2
Source: the Alexandria database
Functional: PBE
Structure: relaxed

D(E_F) = 6.72 states/eV/f.u.
ρ = 6.808 g/cm³
symmetry = P4/mmm, No. 123
energy = -24.4 eV per formula unit

a = 4.550 Å, b = 4.550 Å, c = 4.256 Å
α = 90.00°, β = 90.00°, γ = 90.00°
Sites, in units of the cell vectors:
Al  0.000  0.000  0.000
Ga  0.500  0.500  0.000
Ni  0.500  0.500  0.500
Rh  0.000  0.500  0.500
Rh  0.500  0.000  0.500

---

Record 11
Compound: AlGaNiRh
Source: the Alexandria database
Functional: PBE
Structure: relaxed

D(E_F) = 1.74 states/eV/f.u.
ρ = 8.152 g/cm³
symmetry = Pmmm, No. 47
energy = -22.5 eV per formula unit
offset from the most stable computed form = 0 meV per atom

a = 3.266 Å, b = 3.989 Å, c = 4.039 Å
α = 90.00°, β = 90.00°, γ = 90.00°
Sites, in units of the cell vectors:
Al  0.000  0.000  0.000
Ga  0.000  0.500  0.500
Ni  0.500  0.000  0.500
Rh  0.500  0.500  0.000

---

Record 12
Compound: Al2GaNiS
Source: the Alexandria database
Functional: PBE
Structure: relaxed

D(E_F) = 3.60 states/eV/f.u.
ρ = 3.738 g/cm³
symmetry = P4/mmm, No. 123
energy relative to the elements, uncorrected = 282 meV per atom
energy = -19.0 eV per formula unit

a = 4.833 Å, b = 4.833 Å, c = 4.079 Å
α = 90.00°, β = 90.00°, γ = 90.00°
Sites, in units of the cell vectors:
Al  0.000  0.500  0.000
Al  0.500  0.000  0.000
Ga  0.000  0.000  0.500
Ni  0.500  0.500  0.500
S  0.500  0.500  0.000

---

Please write out number 2 again, unchanged.
Compound: Pr2AlGa4Ni3
Source: the Alexandria database
Functional: PBE
Structure: relaxed

D(E_F) = 6.61 states/eV/f.u.
ρ = 7.052 g/cm³
symmetry = P-4m2, No. 115
energy = -48.4 eV per formula unit

a = 4.167 Å, b = 4.167 Å, c = 10.358 Å
α = 90.00°, β = 90.00°, γ = 90.00°
Sites, in units of the cell vectors:
Pr  0.000  0.500  0.242
Pr  0.500  0.000  0.758
Al  0.000  0.000  0.500
Ga  0.000  0.000  0.000
Ga  0.000  0.500  0.644
Ga  0.500  0.000  0.356
Ga  0.500  0.500  0.000
Ni  0.000  0.500  0.876
Ni  0.500  0.000  0.124
Ni  0.500  0.500  0.500